(1)
Computed, not measured: a relaxed K2NaCaI5 crystal at the PBE-GGA level of DFT.

Properties
symmetry: Cmc2_1
energy relative to the elements, uncorrected: -1460 meV/atom
electronic total energy: -0.1078 hartree per atom

Cell: 4.731 10.432 16.250 Å, 90.00 90.00 103.11°
Positions (direct):
1 I 0.261 0.521 0.664
2 I 0.501 0.002 0.272
3 I 0.378 0.757 0.993
4 I 0.706 0.413 0.901
5 I 0.499 0.998 0.772
6 I 0.075 0.151 0.062
7 I 0.739 0.479 0.164
8 I 0.294 0.587 0.401
9 I 0.622 0.243 0.493
10 I 0.925 0.849 0.562
11 K 0.132 0.263 0.301
12 K 0.868 0.737 0.801
13 K 0.085 0.171 0.654
14 K 0.915 0.829 0.154
15 Na 0.549 0.097 0.947
16 Na 0.451 0.903 0.447
17 Ca 0.773 0.546 0.529
18 Ca 0.227 0.454 0.029

***

(2)
Computed, not measured: a relaxed Li4AgRu crystal at the PBE-GGA level of DFT.

Properties
ΔH_f (0 K): 0.256 eV per atom
symmetry: F-43m
electronic total energy: -0.1118 hartree per atom

Cell: 4.890 4.890 4.890 Å, 60.00 60.00 60.00°
Last column: magnetic moment on the atom in μB.
Positions (direct):
1 Li 0.376 0.871 0.376  -0.01
2 Li 0.376 0.376 0.376  -0.01
3 Li 0.376 0.376 0.871  -0.01
4 Li 0.871 0.376 0.376  -0.01
5 Ru 0.750 0.750 0.750  0.40
6 Ag 0.000 0.000 0.000  0.01

***

(3)
Computed, not measured: a relaxed Tl2SbBr crystal at the PBE-GGA level of DFT.

Properties
offset from the most stable computed form: 106.6 meV/atom
symmetry: R-3m
energy relative to the elements, uncorrected: -163 meV/atom
electronic total energy: -0.1027 hartree per atom

Cell: 10.061 10.061 10.061 Å, 22.45 22.45 22.45°
Positions (direct):
1 Sb 0.750 0.750 0.750
2 Tl 0.504 0.504 0.504
3 Tl 0.996 0.996 0.996
4 Br 0.250 0.250 0.250

***

(4)
Computed, not measured: a relaxed YTe2F crystal at the PBE-GGA level of DFT.

Properties
offset from the most stable computed form: 95.0 meV/atom
symmetry: Fm-3m
energy relative to the elements, uncorrected: -1098 meV/atom
electronic total energy: -0.1746 hartree per atom

Cell: 5.152 5.152 5.152 Å, 60.00 60.00 60.00°
Positions (direct):
1 Y 0.500 0.500 0.500
2 Te 0.250 0.250 0.250
3 Te 0.750 0.750 0.750
4 F 0.000 0.000 0.000

***

(5)
Computed, not measured: a relaxed TbCoAs crystal at the PBE-GGA level of DFT.

Properties
ΔH_f (0 K): -0.856 eV per atom
symmetry: P4/nmm
electronic total energy: -0.2322 hartree per atom

Cell: 5.731 6.628 5.731 Å, 90.00 90.00 90.00°
Last column: magnetic moment on the atom in μB.
Positions (direct):
1 As 0.500 0.211 0.750  0.03
2 As 0.000 0.211 0.250  0.03
3 As 0.000 0.789 0.750  0.03
4 As 0.500 0.789 0.250  0.03
5 Co 0.750 0.000 0.500  0.91
6 Co 0.250 0.000 0.500  0.91
7 Co 0.750 0.000 0.000  0.91
8 Co 0.250 0.000 0.000  0.91
9 Tb 0.500 0.688 0.750  -0.02
10 Tb 0.000 0.312 0.750  -0.02
11 Tb 0.000 0.688 0.250  -0.02
12 Tb 0.500 0.312 0.250  -0.02

***

(6)
Computed, not measured: a relaxed RbTl5In2Hg crystal at the PBE-GGA level of DFT.

Properties
ΔH_f (0 K): 0.154 eV per atom
symmetry: P4/mmm
electronic total energy: -0.0702 hartree per atom

Cell: 5.186 5.186 13.279 Å, 90.00 90.00 90.00°
Positions (direct):
1 Tl 0.000 0.000 0.500
2 Tl 0.500 0.000 0.142
3 Tl 0.000 0.500 0.858
4 Tl 0.500 0.000 0.858
5 Tl 0.000 0.500 0.142
6 In 0.000 0.000 0.280
7 In 0.000 0.000 0.720
8 Hg 0.000 0.000 0.000
9 Rb 0.500 0.500 0.500

***

(7)
Computed, not measured: a relaxed ReNiRu3 crystal at the PBE-GGA level of DFT.

Properties
offset from the most stable computed form: 0.0 meV/atom
ΔH_f (0 K): 1.709 eV per atom
symmetry: Pm-3m
electronic total energy: -0.2757 hartree per atom

Cell: 4.332 4.332 4.332 Å, 90.00 90.00 90.00°
Last column: magnetic moment on the atom in μB.
Positions (direct):
1 Ru 0.000 0.500 0.000  0.62
2 Ru 0.000 0.000 0.500  0.83
3 Ru 0.500 0.000 0.000  0.45
4 Re 0.500 0.500 0.500  -1.24
5 Ni 0.000 0.000 0.000  0.69

***

(8)
Computed, not measured: a relaxed NaLa2Sb3Rh4 crystal at the PBE-GGA level of DFT.

Properties
symmetry: P-4m2
energy relative to the elements, uncorrected: -742 meV/atom
electronic total energy: -0.2218 hartree per atom

Cell: 4.375 4.375 11.350 Å, 90.00 90.00 90.00°
Positions (direct):
1 Sb 0.000 0.000 0.500
2 Sb 0.500 0.000 0.870
3 Sb 0.000 0.500 0.130
4 Na 0.500 0.500 0.500
5 La 0.000 0.500 0.747
6 La 0.500 0.000 0.253
7 Rh 0.500 0.500 0.000
8 Rh 0.500 0.000 0.645
9 Rh 0.000 0.500 0.355
10 Rh 0.000 0.000 0.000